# 1
First-principles (PBE-GGA) data for BaLiCeCl6 after structural relaxation, as listed in Alexandria via LeMat-Bulk.

## Properties
Energy relative to the elements, uncorrected: -19.863 eV per formula unit
Total moment: 0.111 μB per atom

Lattice parameters (Å, degrees): 6.9592 6.9592 13.5087 90.00 90.00 120.00
Space group P-31c (No. 163)
Unique sites:
Ba (0.0000, 0.0000, 0.0000)
Li (0.3333, 0.6667, 0.2500)
Ce (0.3333, 0.6667, 0.7500)
Cl (0.0145, 0.3680, 0.1369)

# 2
First-principles (PBE-GGA) data for SrTlBr2 after structural relaxation, as listed in Alexandria via LeMat-Bulk.

## Properties
Polymorph energy (0 for the lowest one): 316 meV per atom
Energy relative to the elements, uncorrected: -4.128 eV per formula unit
Total moment: 0.000 μB per atom

Lattice parameters (Å, degrees): 4.7620 4.7620 29.0756 90.00 90.00 120.00
Space group R-3m (No. 166, hexagonal axes)
Unique sites:
Sr (0.0000, 0.0000, 0.0000)
Tl (0.0000, 0.0000, 0.5000)
Br (0.0000, 0.0000, 0.1006)

# 3
First-principles (PBE-GGA) data for LaIn2Rh after structural relaxation, as listed in Alexandria via LeMat-Bulk.

## Properties
Formation energy from the elements: -0.41 eV per atom
Total moment: 0.000 μB per atom

Lattice parameters (Å, degrees): 3.369 5.092 11.144 90.00 90.00 90.00
Space group Immm (No. 71)
Unique sites:
La (0.000, 0.000, 0.000)
In (0.000, 0.500, 0.207)
Rh (0.000, 0.000, 0.500)

# 4
First-principles (PBE-GGA) data for K2Mn2I after structural relaxation, as listed in Alexandria via LeMat-Bulk.

## Properties
Polymorph energy (0 for the lowest one): 67 meV per atom
Energy relative to the elements, uncorrected: 2.939 eV per formula unit
Total moment: 1.571 μB per atom

Lattice parameters (Å, degrees): 6.968 6.968 7.998 90.00 90.00 90.00
Space group I4/mmm (No. 139)
Unique sites:
K (0.000, 0.500, 0.250)
Mn (0.000, 0.000, 0.147)
I (0.000, 0.000, 0.500)

# 5
First-principles (PBE-GGA) data for TbYRh after structural relaxation, as listed in Alexandria via LeMat-Bulk.

## Properties
Polymorph energy (0 for the lowest one): 66 meV per atom
Formation energy from the elements: -0.56 eV per atom
Total moment: 0.000 μB per atom

Lattice parameters (Å, degrees): 5.539 4.607 6.450 90.00 106.20 90.00
Space group P2_1/m (No. 11)
Unique sites:
Tb (0.028, 0.250, 0.191)
Y (0.420, 0.250, 0.707)
Rh (0.150, 0.750, 0.436)

# 6
First-principles (PBE-GGA) data for Pr3TlHg3 after structural relaxation, as listed in Alexandria via LeMat-Bulk.

## Properties
Formation energy from the elements: -0.33 eV per atom
Total moment: 0.000 μB per atom

Lattice parameters (Å, degrees): 10.287 10.444 7.817 90.00 90.74 90.00
Space group C2/m (No. 12)
Unique sites:
Pr (0.071, 0.000, 0.255)
Pr (0.249, 0.195, 0.748)
Tl (0.151, 0.500, 0.942)
Hg (0.000, 0.236, 0.000)
Hg (0.000, 0.244, 0.500)
Hg (0.152, 0.500, 0.550)

# 7
First-principles (PBE-GGA) data for ScV2Ge4 after structural relaxation, as listed in Alexandria via LeMat-Bulk.

## Properties
Formation energy from the elements: 0.47 eV per atom
Total moment: 0.000 μB per atom

Lattice parameters (Å, degrees): 4.940 4.940 12.517 90.00 90.00 90.00
Space group I4/mmm (No. 139)
Unique sites:
Sc (0.000, 0.000, 0.000)
V (0.000, 0.000, 0.416)
Ge (0.000, 0.000, 0.212)
Ge (0.000, 0.500, 0.000)